No. 1
VASP calculation (PBE) on an optimized crystal structure of ZrPS2.

```
ZrPS2
1.0
4.010 0.000 0.000
0.000 4.010 0.000
2.005 2.005 8.951
Zr S P
2 4 2
direct
0.000 0.000 0.000 Zr
0.750 0.250 0.500 Zr
0.110 0.625 0.250 S
0.875 0.890 0.750 S
0.640 0.125 0.250 S
0.375 0.360 0.750 S
0.250 0.750 0.500 P
0.500 0.500 0.000 P
```

Values from the calculation:
D(E_F) in states/eV/f.u.: 2.0
Formation energy (no corrections) in eV per atom: -0.295
Volume in Å³ per cell: 143.93
Raw total energy in eV per atom: -5.8478
M_tot in μB per atom: 0.00

=====

No. 2
VASP calculation (PBE) on an optimized crystal structure of MnBeCo.

```
MnBeCo
1.0
2.700 0.000 0.000
0.000 7.933 0.000
0.000 0.000 2.699
Mn Be Co
2 2 2
direct
0.807 0.214 0.031 Mn
0.307 0.055 0.531 Mn
0.307 0.386 0.531 Be
0.806 0.883 0.030 Be
0.307 0.727 0.531 Co
0.807 0.542 0.031 Co
```

Values from the calculation:
D(E_F) in states/eV/f.u.: 2.1
Formation energy in eV/atom: -0.147
Volume in Å³ per cell: 57.80
Raw total energy in eV per atom: -6.8145
M_tot in μB per atom: 0.35

=====

No. 3
VASP calculation (PBE) on an optimized crystal structure of BaNaP2Cl.

```
BaNaP2Cl
1.0
6.295 0.000 0.000
0.000 6.295 0.000
0.000 0.000 5.935
P Ba Na Cl
2 1 1 1
direct
0.500 0.000 0.000 P
0.000 0.500 0.000 P
0.000 0.000 0.000 Ba
0.500 0.500 0.500 Na
0.000 0.000 0.500 Cl
```

Values from the calculation:
D(E_F) in states/eV/f.u.: 2.1
Formation energy (no corrections) in eV per atom: 0.072
Volume in Å³ per cell: 235.19
Raw total energy in eV per atom: -3.1098
M_tot in μB per atom: 0.80

=====

No. 4
VASP calculation (PBE) on an optimized crystal structure of AlIn6.

```
AlIn6
1.0
7.052 0.000 0.000
-2.351 6.649 0.000
-2.351 -3.324 5.758
In Al
6 1
direct
0.750 0.500 0.250 In
0.250 0.500 0.750 In
0.500 0.250 0.750 In
0.750 0.250 0.500 In
0.250 0.750 0.500 In
0.500 0.750 0.250 In
0.000 0.000 0.000 Al
```

Values from the calculation:
D(E_F) in states/eV/f.u.: 4.6
Formation energy in eV/atom: 0.551
Volume in Å³ per cell: 270.01
Raw total energy in eV per atom: -2.3306
M_tot in μB per atom: 0.00